Record 1
## In2CoTeSe (GGA-PBE)

Data for a relaxed structure of In2CoTeSe.

Its uncorrected formation energy is -2.1 kJ per mole of atoms. The calculation puts the total energy at -0.284 Ry/atom. The value obtained for the total magnetic moment is 0.43 μB/cell. Its space group is No. 123.

a b c (Å): 5.343 4.295 5.343
angles (deg): 90.00 90.00 90.00
Last column: magnetic moment on the atom in μB.
Fractional positions:
In 0.500 0.000 0.000  0.02
Se 0.000 0.500 0.000  0.05
Te 0.500 0.500 0.500  -0.03
In 0.000 0.000 0.500  -0.01
Co 0.000 0.000 0.000  0.40

=====

Record 2
## TiInCoSe3 (GGA-PBE)

Data for a relaxed structure of TiInCoSe3.

Its uncorrected formation energy is -64.3 kJ per mole of atoms. The calculation puts the total energy at -0.394 Ry/atom. The value obtained for the total magnetic moment is 2.77 μB/cell. Its space group is No. 11.

a b c (Å): 3.627 8.494 9.474
angles (deg): 113.39 90.00 90.00
Last column: magnetic moment on the atom in μB.
Fractional positions:
Se 0.250 0.099 0.858  0.02
Ti 0.250 0.705 0.173  -0.06
In 0.750 0.753 0.758  0.01
Se 0.250 0.778 0.461  0.06
Se 0.750 0.465 0.134  0.01
Co 0.750 0.917 0.398  1.26
Se 0.750 0.222 0.539  0.06
Ti 0.750 0.295 0.827  -0.06
In 0.250 0.247 0.242  0.01
Se 0.250 0.535 0.866  0.01
Se 0.750 0.901 0.142  0.02
Co 0.250 0.083 0.602  1.26

=====

Record 3
## InCoSi3 (GGA-PBE)

Data for a relaxed structure of InCoSi3.

Its uncorrected formation energy is 29.6 kJ per mole of atoms. The calculation puts the total energy at -0.361 Ry/atom. The value obtained for the total magnetic moment is 0.00 μB/cell. Its space group is No. 221.

a b c (Å): 4.479 4.479 4.479
angles (deg): 90.00 90.00 90.00
Fractional positions:
In 0.500 0.500 0.500
Si 0.000 0.000 0.500
Co 0.000 0.000 0.000
Si 0.500 0.000 0.000
Si 0.000 0.500 0.000

=====

Record 4
## InCo2Si (GGA-PBE)

Data for a relaxed structure of InCo2Si.

Its uncorrected formation energy is 9.3 kJ per mole of atoms. The calculation puts the total energy at -0.404 Ry/atom. The value obtained for the total magnetic moment is 1.57 μB/cell. Its space group is No. 99.

a b c (Å): 3.100 3.100 5.904
angles (deg): 90.00 90.00 90.00
Last column: magnetic moment on the atom in μB.
Fractional positions:
Co 0.000 0.000 0.964  0.56
Si 0.500 0.500 0.833  -0.01
In 0.000 0.000 0.479  -0.03
Co 0.500 0.500 0.224  1.10

=====

Record 5
## InCo3Si (GGA-PBE)

Data for a relaxed structure of InCo3Si.

Its uncorrected formation energy is 165.2 kJ per mole of atoms. The calculation puts the total energy at -0.307 Ry/atom. The value obtained for the total magnetic moment is 4.39 μB/cell. Its space group is No. 221. Its energy above the most stable polymorph in this dataset is 1392 meV per atom.

a b c (Å): 4.645 4.645 4.645
angles (deg): 90.00 90.00 90.00
Last column: magnetic moment on the atom in μB.
Fractional positions:
Co 0.000 0.000 0.500  1.46
In 0.000 0.000 0.000  -0.10
Co 0.000 0.500 0.000  1.61
Co 0.500 0.000 0.000  1.56
Si 0.500 0.500 0.500  -0.01

=====

Record 6
## InCoSi2 (GGA-PBE)

Data for a relaxed structure of InCoSi2.

Its uncorrected formation energy is 44.6 kJ per mole of atoms. The calculation puts the total energy at -0.346 Ry/atom. The value obtained for the total magnetic moment is 0.00 μB/cell. Its space group is No. 123.

a b c (Å): 3.679 3.674 4.614
angles (deg): 90.00 90.00 90.00
Fractional positions:
Co 0.500 0.000 0.500
Si 0.000 0.000 0.000
Si 0.500 0.500 0.000
In 0.000 0.500 0.500

=====

Record 7
## InCo2Si (GGA-PBE)

Data for a relaxed structure of InCo2Si.

Its uncorrected formation energy is 1.8 kJ per mole of atoms. The calculation puts the total energy at -0.410 Ry/atom. The value obtained for the total magnetic moment is 1.33 μB/cell. Its space group is No. 123.

a b c (Å): 4.194 4.194 2.987
angles (deg): 90.00 90.00 90.00
Last column: magnetic moment on the atom in μB.
Fractional positions:
In 0.500 0.000 0.500  -0.03
Co 0.000 0.000 0.000  0.70
Co 0.500 0.500 0.000  0.70
Si 0.000 0.500 0.500  0.01

=====

Record 8
## InCoSi2 (GGA-PBE)

Data for a relaxed structure of InCoSi2.

Its uncorrected formation energy is 6.2 kJ per mole of atoms. The calculation puts the total energy at -0.375 Ry/atom. The value obtained for the total magnetic moment is 0.00 μB/cell. Its space group is No. 12.

a b c (Å): 3.960 3.960 6.191
angles (deg): 77.84 77.84 46.33
Fractional positions:
Co 0.750 0.750 0.750
Si 0.479 0.479 0.598
Si 0.021 0.021 0.902
In 0.250 0.250 0.250

=====

Record 9
## In2Co2Si (GGA-PBE)

Data for a relaxed structure of In2Co2Si.

Its uncorrected formation energy is 0.0 kJ per mole of atoms. The calculation puts the total energy at -0.369 Ry/atom. The value obtained for the total magnetic moment is 0.00 μB/cell. Its space group is No. 127. Its energy above the most stable polymorph in this dataset is 0 meV per atom.

a b c (Å): 6.102 6.102 4.165
angles (deg): 90.00 90.00 90.00
Fractional positions:
Si 0.500 0.500 0.000
Co 0.846 0.654 0.000
Co 0.154 0.346 0.000
In 0.164 0.664 0.500
In 0.836 0.336 0.500
In 0.664 0.836 0.500
Si 0.000 0.000 0.000
Co 0.346 0.846 0.000
Co 0.654 0.154 0.000
In 0.336 0.164 0.500

=====

Record 10
## InCo2Si (GGA-PBE)

Data for a relaxed structure of InCo2Si.

Its uncorrected formation energy is 28.2 kJ per mole of atoms. The calculation puts the total energy at -0.390 Ry/atom. The value obtained for the total magnetic moment is 2.76 μB/cell. Its space group is No. 160.

a b c (Å): 8.347 8.347 8.347
angles (deg): 19.94 19.94 19.94
Last column: magnetic moment on the atom in μB.
Fractional positions:
In 0.505 0.505 0.505  -0.03
Co 0.001 0.001 0.001  1.20
Co 0.260 0.260 0.260  1.68
Si 0.734 0.734 0.734  -0.01

=====

Record 11
## InCoSi2 (GGA-PBE)

Data for a relaxed structure of InCoSi2.

Its uncorrected formation energy is 44.4 kJ per mole of atoms. The calculation puts the total energy at -0.346 Ry/atom. The value obtained for the total magnetic moment is 0.00 μB/cell. Its space group is No. 12.

a b c (Å): 5.574 5.574 3.037
angles (deg): 73.31 73.31 123.00
Fractional positions:
Si 0.000 0.000 0.000
In 0.000 0.500 0.500
Si 0.500 0.500 0.000
Co 0.500 0.000 0.500

=====

Record 12
## InCo2Si (GGA-PBE)

Data for a relaxed structure of InCo2Si.

Its uncorrected formation energy is 3.9 kJ per mole of atoms. The calculation puts the total energy at -0.408 Ry/atom. The value obtained for the total magnetic moment is 0.03 μB/cell. Its space group is No. 8.

a b c (Å): 4.868 4.868 4.179
angles (deg): 75.84 75.84 34.50
Last column: magnetic moment on the atom in μB.
Fractional positions:
Co 0.971 0.971 0.078  -0.11
In 0.507 0.507 0.555  0.00
Co 0.756 0.756 0.702  0.14
Si 0.267 0.267 0.165  0.00

=====

Record 13
## InCoSi2 (GGA-PBE)

Data for a relaxed structure of InCoSi2.

Its uncorrected formation energy is 12.2 kJ per mole of atoms. The calculation puts the total energy at -0.371 Ry/atom. The value obtained for the total magnetic moment is 0.26 μB/cell. Its space group is No. 99.

a b c (Å): 2.916 2.916 7.409
angles (deg): 90.00 90.00 90.00
Last column: magnetic moment on the atom in μB.
Fractional positions:
In 0.500 0.500 0.709  0.00
Co 0.000 0.000 0.435  0.30
Si 0.000 0.000 0.069  0.00
Si 0.500 0.500 0.288  -0.01

=====

Record 14
## InCo2Si (GGA-PBE)

Data for a relaxed structure of InCo2Si.

Its uncorrected formation energy is 3.0 kJ per mole of atoms. The calculation puts the total energy at -0.409 Ry/atom. The value obtained for the total magnetic moment is 0.62 μB/cell. Its space group is No. 166.

a b c (Å): 7.850 7.850 7.850
angles (deg): 21.09 21.09 21.09
Last column: magnetic moment on the atom in μB.
Fractional positions:
Si 0.750 0.750 0.750  -0.01
Co 0.011 0.011 0.011  0.34
Co 0.489 0.489 0.489  0.34
In 0.250 0.250 0.250  -0.01

=====

Record 15
## InCoSi2 (GGA-PBE)

Data for a relaxed structure of InCoSi2.

Its uncorrected formation energy is -0.3 kJ per mole of atoms. The calculation puts the total energy at -0.380 Ry/atom. The value obtained for the total magnetic moment is 0.00 μB/cell. Its space group is No. 8.

a b c (Å): 4.269 4.269 6.191
angles (deg): 71.85 71.85 38.95
Fractional positions:
Si 0.992 0.992 0.953
In 0.173 0.173 0.252
Si 0.809 0.809 0.644
Co 0.526 0.526 0.650

=====

Record 16
## InCo2Si (GGA-PBE)

Data for a relaxed structure of InCo2Si.

Its uncorrected formation energy is -4.4 kJ per mole of atoms. The calculation puts the total energy at -0.414 Ry/atom. The value obtained for the total magnetic moment is 0.00 μB/cell. Its space group is No. 25.

a b c (Å): 3.064 2.857 6.633
angles (deg): 90.00 90.00 90.00
Fractional positions:
Co 0.000 0.125 0.827
Si 0.500 0.625 0.966
In 0.000 0.625 0.481
Co 0.500 0.125 0.226

=====

Record 17
## InCoSi2 (GGA-PBE)

Data for a relaxed structure of InCoSi2.

Its uncorrected formation energy is 45.4 kJ per mole of atoms. The calculation puts the total energy at -0.346 Ry/atom. The value obtained for the total magnetic moment is 0.98 μB/cell. Its space group is No. 139.

a b c (Å): 4.833 4.833 4.833
angles (deg): 131.32 131.32 71.30
Last column: magnetic moment on the atom in μB.
Fractional positions:
Si 0.000 0.000 0.000  0.01
Si 0.500 0.500 0.000  0.01
Co 0.250 0.750 0.500  0.95
In 0.750 0.250 0.500  0.02

=====

Record 18
## InCo2Si (GGA-PBE)

Data for a relaxed structure of InCo2Si.

Its uncorrected formation energy is -9.7 kJ per mole of atoms. The calculation puts the total energy at -0.418 Ry/atom. The value obtained for the total magnetic moment is 0.51 μB/cell. Its space group is No. 44.

a b c (Å): 6.577 6.577 6.577
angles (deg): 149.97 155.89 38.87
Last column: magnetic moment on the atom in μB.
Fractional positions:
In 0.451 0.451 0.000  -0.02
Si 0.204 0.704 0.500  -0.01
Co 0.084 0.084 0.000  0.41
Co 0.762 0.262 0.500  0.17

=====

Record 19
## In2CoSi (GGA-PBE)

Data for a relaxed structure of In2CoSi.

Its uncorrected formation energy is 45.1 kJ per mole of atoms. The calculation puts the total energy at -0.297 Ry/atom. The value obtained for the total magnetic moment is 0.65 μB/cell. Its space group is No. 12.

a b c (Å): 4.673 4.673 5.372
angles (deg): 75.96 75.96 41.05
Last column: magnetic moment on the atom in μB.
Fractional positions:
Co 0.250 0.250 0.250  0.73
In 0.989 0.989 0.021  -0.01
In 0.511 0.511 0.479  -0.01
Si 0.750 0.750 0.750  0.00

=====

Record 20
## In2CoSi (GGA-PBE)

Data for a relaxed structure of In2CoSi.

Its uncorrected formation energy is 40.4 kJ per mole of atoms. The calculation puts the total energy at -0.300 Ry/atom. The value obtained for the total magnetic moment is 1.03 μB/cell. Its space group is No. 166.

a b c (Å): 8.309 8.309 8.309
angles (deg): 22.79 22.79 22.79
Last column: magnetic moment on the atom in μB.
Fractional positions:
In 0.005 0.005 0.005  -0.02
In 0.495 0.495 0.495  -0.02
Co 0.750 0.750 0.750  1.09
Si 0.250 0.250 0.250  0.01